VASP calculation (PBE-GGA) on a geometry-optimized NaZn2In3 structure.

Properties
energy of formation: -0.024 eV/atom
magnetization: 0.000 μB per atom
V: 23.4 Å³/atom

Structure (extended XYZ):
```
12
Lattice="4.449 0.000 1.225 1.203 7.363 4.324 0.020 0.113 8.622" Properties=species:S:1:pos:R:3 pbc="T T T"
In 2.514 6.512 8.255
Na 4.041 0.946 2.710
In 0.811 4.961 5.746
Zn 1.251 2.256 4.151
In 4.860 2.515 8.425
Na 1.631 6.530 11.462
Zn 3.256 6.308 5.561
Zn 4.421 5.220 10.020
In 3.158 0.964 5.916
In 2.033 3.569 10.001
In 3.639 3.907 4.170
Zn 2.416 1.168 8.610
```